1.
Computed, not measured: crystalline Ac5Cd2Rh2 at its relaxed geometry at the GGA-PBE level of DFT.

The total energy comes out at -4.5419 eV/atom. The value obtained for the total magnetization is 0.00 μB per cell. The volume comes out at 32.91 Å³/atom.

a = 9.5235 Å, b = 9.5235 Å, c = 8.4761 Å
α = 90.00°, β = 90.00°, γ = 50.41°
Fractional positions:
Ac1 0.0000 0.0000 0.0000
Ac2 0.0469 0.7163 0.6710
Ac3 0.2163 0.5469 0.1710
Ac4 0.2837 0.9531 0.6710
Ac5 0.4531 0.7837 0.1710
Ac6 0.5000 0.5000 0.5000
Ac7 0.5469 0.2163 0.8290
Ac8 0.7163 0.0469 0.3290
Ac9 0.7837 0.4531 0.8290
Ac10 0.9531 0.2837 0.3290
Cd1 0.2151 0.2151 0.0000
Cd2 0.2849 0.2849 0.5000
Cd3 0.7151 0.7151 0.5000
Cd4 0.7849 0.7849 0.0000
Rh1 0.1371 0.8629 0.3674
Rh2 0.3629 0.6371 0.8674
Rh3 0.6371 0.3629 0.1326
Rh4 0.8629 0.1371 0.6326

=====

2.
Computed, not measured: crystalline Ac3Cd2Rh7 at its relaxed geometry at the GGA-PBE level of DFT.

The total energy comes out at -5.9276 eV/atom. The value obtained for the total magnetization is 0.00 μB per cell. The volume comes out at 20.31 Å³/atom.

a = 9.3882 Å, b = 9.3882 Å, c = 9.3882 Å
α = 35.05°, β = 35.05°, γ = 35.05°
Fractional positions:
Ac1 0.0000 0.0000 0.0000
Ac2 0.1385 0.1385 0.1385
Ac3 0.8615 0.8615 0.8615
Cd1 0.3342 0.3342 0.3342
Cd2 0.6658 0.6658 0.6658
Rh1 0.0826 0.5874 0.5874
Rh2 0.4126 0.4126 0.9174
Rh3 0.4126 0.9174 0.4126
Rh4 0.5000 0.5000 0.5000
Rh5 0.5874 0.0826 0.5874
Rh6 0.5874 0.5874 0.0826
Rh7 0.9174 0.4126 0.4126

=====

3.
Computed, not measured: crystalline AcCdRh2 at its relaxed geometry at the GGA-PBE level of DFT.

The value obtained for the total magnetization is 0.00 μB per cell. The offset from the most stable computed form is 0.0 meV/atom. The volume comes out at 20.59 Å³/atom.

a = 4.6459 Å, b = 4.6459 Å, c = 3.8162 Å
α = 90.00°, β = 90.00°, γ = 90.00°
Fractional positions:
Ac1 0.0000 0.0000 0.0000
Cd1 0.5000 0.5000 0.0000
Rh1 0.0000 0.5000 0.5000
Rh2 0.5000 0.0000 0.5000

=====

4.
Computed, not measured: crystalline Ac2Cd6Rh3 at its relaxed geometry at the GGA-PBE level of DFT.

The total energy comes out at -3.5530 eV/atom. The value obtained for the total magnetization is 0.00 μB per cell. The volume comes out at 23.75 Å³/atom.

a = 8.3812 Å, b = 8.3812 Å, c = 4.2941 Å
α = 90.00°, β = 90.00°, γ = 120.00°
Fractional positions:
Ac1 0.3333 0.6667 0.0000
Ac2 0.6667 0.3333 0.0000
Cd1 0.0000 0.2790 0.5000
Cd2 0.0000 0.7987 0.0000
Cd3 0.2013 0.2013 0.0000
Cd4 0.2790 0.0000 0.5000
Cd5 0.7210 0.7210 0.5000
Cd6 0.7987 0.0000 0.0000
Rh1 0.0000 0.6003 0.5000
Rh2 0.3997 0.3997 0.5000
Rh3 0.6003 0.0000 0.5000